(1)
# PBE-GGA Zr2PbAu, relaxed
data_Zr2PbAu
_space_group_name_H-M_alt 'P 1'
_space_group_IT_number 1
_cell_length_a 6.0477
_cell_length_b 6.0477
_cell_length_c 5.1103
_cell_angle_alpha 114.93
_cell_angle_beta 114.93
_cell_angle_gamma 32.07
loop_
_space_group_symop_operation_xyz
'x,y,z'
loop_
_atom_site_label
_atom_site_type_symbol
_atom_site_fract_x
_atom_site_fract_y
_atom_site_fract_z
Zr1 Zr 0.0000 0.0000 0.0000
Zr2 Zr 0.2465 0.2465 0.7494
Pb1 Pb 0.7791 0.7791 0.2819
Au1 Au 0.5222 0.5222 0.5211
# E_tot	-6.28	eV per atom
# calculated formation energy	-262	meV/atom
# density	10922	kg/m³
# magnetization	0.0	μB/f.u.
# Fermi-level density of states	0.641	states/eV per atom



(2)
# PBE-GGA Zr2PbAu, relaxed
data_Zr2PbAu
_space_group_name_H-M_alt 'P 1'
_space_group_IT_number 1
_cell_length_a 5.7463
_cell_length_b 5.7463
_cell_length_c 5.7463
_cell_angle_alpha 136.79
_cell_angle_beta 136.79
_cell_angle_gamma 62.76
loop_
_space_group_symop_operation_xyz
'x,y,z'
loop_
_atom_site_label
_atom_site_type_symbol
_atom_site_fract_x
_atom_site_fract_y
_atom_site_fract_z
Zr1 Zr 0.0000 0.0000 0.0000
Zr2 Zr 0.7500 0.2500 0.5000
Pb1 Pb 0.5000 0.5000 0.0000
Au1 Au 0.2500 0.7500 0.5000
# E_tot	-6.28	eV per atom
# calculated formation energy	-257	meV/atom
# density	11089	kg/m³
# magnetization	0.0	μB/f.u.
# Fermi-level density of states	1.298	states/eV per atom



(3)
# PBE-GGA Zr2Pb2Au, relaxed
data_Zr2Pb2Au
_space_group_name_H-M_alt 'P 1'
_space_group_IT_number 1
_cell_length_a 7.4141
_cell_length_b 7.4141
_cell_length_c 4.4936
_cell_angle_alpha 90.00
_cell_angle_beta 90.00
_cell_angle_gamma 90.00
loop_
_space_group_symop_operation_xyz
'x,y,z'
loop_
_atom_site_label
_atom_site_type_symbol
_atom_site_fract_x
_atom_site_fract_y
_atom_site_fract_z
Zr1 Zr 0.1473 0.3527 0.0000
Zr2 Zr 0.3527 0.8527 0.0000
Zr3 Zr 0.6473 0.1473 0.0000
Zr4 Zr 0.8527 0.6473 0.0000
Pb1 Pb 0.1630 0.6630 0.5000
Pb2 Pb 0.3370 0.1630 0.5000
Pb3 Pb 0.6630 0.8370 0.5000
Pb4 Pb 0.8370 0.3370 0.5000
Au1 Au 0.0000 0.0000 0.0000
Au2 Au 0.5000 0.5000 0.0000
# E_tot	-5.65	eV per atom
# calculated formation energy	-88	meV/atom
# energy above the most stable polymorph in this dataset	0.00	eV/f.u.
# density	10673	kg/m³
# magnetization	0.0	μB/f.u.
# Fermi-level density of states	0.987	states/eV per atom



(4)
# PBE-GGA ZrPbAu3, relaxed
data_ZrPbAu3
_space_group_name_H-M_alt 'P 1'
_space_group_IT_number 1
_cell_length_a 5.2569
_cell_length_b 5.2569
_cell_length_c 5.2569
_cell_angle_alpha 90.00
_cell_angle_beta 90.00
_cell_angle_gamma 90.00
loop_
_space_group_symop_operation_xyz
'x,y,z'
loop_
_atom_site_label
_atom_site_type_symbol
_atom_site_fract_x
_atom_site_fract_y
_atom_site_fract_z
Zr1 Zr 0.0000 0.0000 0.0000
Pb1 Pb 0.5000 0.5000 0.5000
Au1 Au 0.0000 0.0000 0.5000
Au2 Au 0.0000 0.5000 0.0000
Au3 Au 0.5000 0.0000 0.0000
# E_tot	-3.95	eV per atom
# calculated formation energy	463	meV/atom
# energy above the most stable polymorph in this dataset	0.00	eV/f.u.
# density	10165	kg/m³
# magnetization	0.0	μB/f.u.
# Fermi-level density of states	1.289	states/eV per atom



(5)
# PBE-GGA Zr2PbAu, relaxed
data_Zr2PbAu
_space_group_name_H-M_alt 'P 1'
_space_group_IT_number 1
_cell_length_a 6.7742
_cell_length_b 6.7742
_cell_length_c 6.7742
_cell_angle_alpha 37.06
_cell_angle_beta 37.06
_cell_angle_gamma 37.06
loop_
_space_group_symop_operation_xyz
'x,y,z'
loop_
_atom_site_label
_atom_site_type_symbol
_atom_site_fract_x
_atom_site_fract_y
_atom_site_fract_z
Zr1 Zr 0.0000 0.0000 0.0000
Zr2 Zr 0.1968 0.1968 0.1968
Pb1 Pb 0.4276 0.4276 0.4276
Au1 Au 0.5933 0.5933 0.5933
# E_tot	-6.11	eV per atom
# calculated formation energy	-89	meV/atom
# density	9629	kg/m³
# magnetization	0.0	μB/f.u.
# Fermi-level density of states	1.046	states/eV per atom



(6)
# PBE-GGA Zr2PbAu, relaxed
data_Zr2PbAu
_space_group_name_H-M_alt 'P 1'
_space_group_IT_number 1
_cell_length_a 3.2151
_cell_length_b 5.1779
_cell_length_c 5.2607
_cell_angle_alpha 90.00
_cell_angle_beta 92.06
_cell_angle_gamma 90.00
loop_
_space_group_symop_operation_xyz
'x,y,z'
loop_
_atom_site_label
_atom_site_type_symbol
_atom_site_fract_x
_atom_site_fract_y
_atom_site_fract_z
Zr1 Zr 0.0000 0.0000 0.0000
Zr2 Zr 0.0848 0.5000 0.6228
Pb1 Pb 0.5332 0.0000 0.4983
Au1 Au 0.5786 0.5000 0.1136
# E_tot	-6.26	eV per atom
# calculated formation energy	-237	meV/atom
# density	11130	kg/m³
# magnetization	0.0	μB/f.u.
# Fermi-level density of states	0.684	states/eV per atom



(7)
# PBE-GGA Pd5Au6, relaxed
data_Pd5Au6
_space_group_name_H-M_alt 'P 1'
_space_group_IT_number 1
_cell_length_a 6.7317
_cell_length_b 6.7317
_cell_length_c 4.7740
_cell_angle_alpha 104.21
_cell_angle_beta 104.21
_cell_angle_gamma 105.09
loop_
_space_group_symop_operation_xyz
'x,y,z'
loop_
_atom_site_label
_atom_site_type_symbol
_atom_site_fract_x
_atom_site_fract_y
_atom_site_fract_z
Pd1 Pd 0.0000 0.0000 0.0000
Pd2 Pd 0.1328 0.8672 0.5000
Pd3 Pd 0.2724 0.7276 0.0000
Pd4 Pd 0.7276 0.2724 0.0000
Pd5 Pd 0.8672 0.1328 0.5000
Au1 Au 0.1676 0.4525 0.3615
Au2 Au 0.3086 0.3086 0.8623
Au3 Au 0.4525 0.1676 0.3615
Au4 Au 0.5475 0.8324 0.6385
Au5 Au 0.6914 0.6914 0.1377
Au6 Au 0.8324 0.5475 0.6385
# E_tot	-4.14	eV per atom
# calculated formation energy	12	meV/atom
# energy above the most stable polymorph in this dataset	0.03	eV/f.u.
# density	14893	kg/m³
# magnetization	0.0	μB/f.u.
# Fermi-level density of states	0.759	states/eV per atom



(8)
# PBE-GGA PdAu3, relaxed
data_PdAu3
_space_group_name_H-M_alt 'P 1'
_space_group_IT_number 1
_cell_length_a 5.7646
_cell_length_b 5.7646
_cell_length_c 4.8154
_cell_angle_alpha 90.00
_cell_angle_beta 90.00
_cell_angle_gamma 120.00
loop_
_space_group_symop_operation_xyz
'x,y,z'
loop_
_atom_site_label
_atom_site_type_symbol
_atom_site_fract_x
_atom_site_fract_y
_atom_site_fract_z
Pd1 Pd 0.3333 0.6667 0.2500
Pd2 Pd 0.6667 0.3333 0.7500
Au1 Au 0.1679 0.3359 0.7500
Au2 Au 0.1679 0.8321 0.7500
Au3 Au 0.3359 0.1679 0.2500
Au4 Au 0.6641 0.8321 0.7500
Au5 Au 0.8321 0.1679 0.2500
Au6 Au 0.8321 0.6641 0.2500
# E_tot	-3.83	eV per atom
# calculated formation energy	-69	meV/atom
# density	16712	kg/m³
# magnetization	0.0	μB/f.u.
# Fermi-level density of states	0.273	states/eV per atom



(9)
# PBE-GGA Pd13Au2, relaxed
data_Pd13Au2
_space_group_name_H-M_alt 'P 1'
_space_group_IT_number 1
_cell_length_a 6.2702
_cell_length_b 6.2847
_cell_length_c 6.8892
_cell_angle_alpha 68.80
_cell_angle_beta 68.94
_cell_angle_gamma 84.24
loop_
_space_group_symop_operation_xyz
'x,y,z'
loop_
_atom_site_label
_atom_site_type_symbol
_atom_site_fract_x
_atom_site_fract_y
_atom_site_fract_z
Pd1 Pd 0.0000 0.0000 0.0000
Pd2 Pd 0.0686 0.7368 0.3987
Pd3 Pd 0.2006 0.1974 0.2024
Pd4 Pd 0.2684 0.9360 0.6000
Pd5 Pd 0.3367 0.6689 0.0010
Pd6 Pd 0.3991 0.3997 0.3981
Pd7 Pd 0.4675 0.1313 0.7996
Pd8 Pd 0.5325 0.8687 0.2004
Pd9 Pd 0.6009 0.6003 0.6019
Pd10 Pd 0.6633 0.3311 0.9990
Pd11 Pd 0.7316 0.0640 0.4000
Pd12 Pd 0.7994 0.8026 0.7976
Pd13 Pd 0.9314 0.2632 0.6013
Au1 Au 0.1350 0.4670 0.7976
Au2 Au 0.8650 0.5330 0.2024
# E_tot	-4.95	eV per atom
# calculated formation energy	-9	meV/atom
# density	12502	kg/m³
# magnetization	2.6	μB/f.u.
# Fermi-level density of states	2.349	states/eV per atom



(10)
# PBE-GGA Pd3Au8, relaxed
data_Pd3Au8
_space_group_name_H-M_alt 'P 1'
_space_group_IT_number 1
_cell_length_a 6.0704
_cell_length_b 6.0704
_cell_length_c 6.0704
_cell_angle_alpha 93.30
_cell_angle_beta 93.30
_cell_angle_gamma 93.30
loop_
_space_group_symop_operation_xyz
'x,y,z'
loop_
_atom_site_label
_atom_site_type_symbol
_atom_site_fract_x
_atom_site_fract_y
_atom_site_fract_z
Pd1 Pd 0.0000 0.5000 0.5000
Pd2 Pd 0.5000 0.0000 0.5000
Pd3 Pd 0.5000 0.5000 0.0000
Au1 Au 0.0901 0.9092 0.3174
Au2 Au 0.0908 0.6826 0.9099
Au3 Au 0.3174 0.0901 0.9092
Au4 Au 0.3616 0.3616 0.3616
Au5 Au 0.6384 0.6384 0.6384
Au6 Au 0.6826 0.9099 0.0908
Au7 Au 0.9092 0.3174 0.0901
Au8 Au 0.9099 0.0908 0.6826
# E_tot	-3.47	eV per atom
# calculated formation energy	332	meV/atom
# energy above the most stable polymorph in this dataset	4.47	eV/f.u.
# density	14140	kg/m³
# magnetization	0.0	μB/f.u.
# Fermi-level density of states	0.590	states/eV per atom



(11)
# PBE-GGA PdAu3, relaxed
data_PdAu3
_space_group_name_H-M_alt 'P 1'
_space_group_IT_number 1
_cell_length_a 5.5582
_cell_length_b 5.5582
_cell_length_c 5.5582
_cell_angle_alpha 148.60
_cell_angle_beta 61.75
_cell_angle_gamma 128.30
loop_
_space_group_symop_operation_xyz
'x,y,z'
loop_
_atom_site_label
_atom_site_type_symbol
_atom_site_fract_x
_atom_site_fract_y
_atom_site_fract_z
Pd1 Pd 0.0000 0.0000 0.0000
Au1 Au 0.3718 0.6246 0.7472
Au2 Au 0.5018 0.0018 0.5000
Au3 Au 0.8774 0.6246 0.2528
# E_tot	-3.79	eV per atom
# calculated formation energy	-38	meV/atom
# density	16649	kg/m³
# magnetization	0.0	μB/f.u.
# Fermi-level density of states	0.303	states/eV per atom



(12)
# PBE-GGA Pd5Au6, relaxed
data_Pd5Au6
_space_group_name_H-M_alt 'P 1'
_space_group_IT_number 1
_cell_length_a 7.1266
_cell_length_b 7.1266
_cell_length_c 6.3970
_cell_angle_alpha 90.00
_cell_angle_beta 90.00
_cell_angle_gamma 143.14
loop_
_space_group_symop_operation_xyz
'x,y,z'
loop_
_atom_site_label
_atom_site_type_symbol
_atom_site_fract_x
_atom_site_fract_y
_atom_site_fract_z
Pd1 Pd 0.0000 0.0000 0.0000
Pd2 Pd 0.3280 0.6720 0.5000
Pd3 Pd 0.3326 0.6674 0.0000
Pd4 Pd 0.6674 0.3326 0.0000
Pd5 Pd 0.6720 0.3280 0.5000
Au1 Au 0.1588 0.8412 0.2574
Au2 Au 0.1588 0.8412 0.7426
Au3 Au 0.5000 0.5000 0.2667
Au4 Au 0.5000 0.5000 0.7333
Au5 Au 0.8412 0.1588 0.2574
Au6 Au 0.8412 0.1588 0.7426
# E_tot	-4.14	eV per atom
# calculated formation energy	9	meV/atom
# energy above the most stable polymorph in this dataset	0.00	eV/f.u.
# density	14602	kg/m³
# magnetization	0.0	μB/f.u.
# Fermi-level density of states	0.739	states/eV per atom